[1]
Material: Ba2MgRe2N6
Method: DFT, PBE
State: relaxed

```
data_Ba2MgRe2N6
_symmetry_space_group_name_H-M 'R -3 m'
_symmetry_Int_Tables_number 166
_symmetry_space_group_name_Hall '-R 3 2"'
_cell_length_a 6.0851
_cell_length_b 6.0851
_cell_length_c 18.7794
_cell_angle_alpha 90.00
_cell_angle_beta 90.00
_cell_angle_gamma 120.00
loop_
_atom_site_label
_atom_site_type_symbol
_atom_site_fract_x
_atom_site_fract_y
_atom_site_fract_z
Ba1 Ba 0.0000 0.0000 0.2434
Mg1 Mg 0.0000 0.0000 0.0000
Re1 Re 0.0000 0.0000 0.4290
N1 N 0.0049 0.5025 0.2626
```

- calculated total energy (eV per atom) = -7.84
- crystal system = trigonal

***

[2]
Material: RbNi2Cl6
Method: DFT, PBE
State: relaxed

```
data_RbNi2Cl6
_symmetry_space_group_name_H-M 'P -3 1 m'
_symmetry_Int_Tables_number 162
_symmetry_space_group_name_Hall '-P 3 2'
_cell_length_a 6.1450
_cell_length_b 6.1450
_cell_length_c 7.4410
_cell_angle_alpha 90.00
_cell_angle_beta 90.00
_cell_angle_gamma 120.00
loop_
_atom_site_label
_atom_site_type_symbol
_atom_site_fract_x
_atom_site_fract_y
_atom_site_fract_z
Rb1 Rb 0.0000 0.0000 0.0000
Ni1 Ni 0.3333 0.6667 0.5000
Cl1 Cl 0.0000 0.3733 0.6782
```

- calculated total energy (eV per atom) = -3.46
- crystal system = trigonal

***

Question: Which of these has the highest calculated total energy?
Answer: RbNi2Cl6